{
  "formula": "Sc3WO",
  "functional": "PBE+U",
  "state": "optimized geometry",
  "dos_ef_per_ev_cell": 3.4,
  "relative_energy_mev_per_atom": 0,
  "total_energy_ev_per_atom": -7.1462,
  "lattice": [[4.439, 0.000, 0.000], [0.000, 4.439, 0.000], [0.000, 0.000, 4.439]],
  "species": ["Sc", "Sc", "Sc", "W", "O"],
  "frac_coords": [[0.000, 0.000, 0.500], [0.000, 0.500, 0.000], [0.500, 0.000, 0.000], [0.500, 0.500, 0.500], [0.000, 0.000, 0.000]]
}